[1]
A plane-wave DFT calculation with PBE was carried out for an optimized crystal structure of Cu3Ag7.

Geometry as CIF:
```
data_Cu3Ag7
_chemical_formula_sum 'Cu3 Ag7'
_cell_length_a 4.9232
_cell_length_b 4.9432
_cell_length_c 7.5037
_cell_angle_alpha 70.96
_cell_angle_beta 70.92
_cell_angle_gamma 80.96
_space_group_name_H-M_alt 'P 1'
_space_group_IT_number 1
_space_group_name_Hall 'P 1'
loop_
_atom_site_label
_atom_site_type_symbol
_atom_site_fract_x
_atom_site_fract_y
_atom_site_fract_z
Ag1 Ag 0.4974 0.3036 0.8943
Ag2 Ag 0.0015 0.7910 0.4046
Ag3 Ag 0.5052 0.0974 0.3013
Ag4 Ag 0.5070 0.7065 0.0974
Ag5 Ag 0.9972 0.4065 0.1916
Ag6 Ag 0.4923 0.8937 0.7018
Ag7 Ag 0.9997 0.2012 0.6091
Cu1 Cu 0.0007 0.0033 0.9953
Cu2 Cu 0.0057 0.5968 0.8007
Cu3 Cu 0.4933 0.5000 0.5039
```

energy relative to the elements = 81 meV per atom
polymorph energy (0 for the lowest one) = 50 kJ/mol of formula units
symmetry = P1 (1)

[2]
A plane-wave DFT calculation with PBE was carried out for an optimized crystal structure of Cu7Ag2.

Geometry as CIF:
```
data_Cu7Ag2
_chemical_formula_sum 'Cu7 Ag2'
_cell_length_a 5.7595
_cell_length_b 5.7595
_cell_length_c 8.1488
_cell_angle_alpha 103.64
_cell_angle_beta 103.64
_cell_angle_gamma 26.88
_space_group_name_H-M_alt 'P 1'
_space_group_IT_number 1
_space_group_name_Hall 'P 1'
loop_
_atom_site_label
_atom_site_type_symbol
_atom_site_fract_x
_atom_site_fract_y
_atom_site_fract_z
Cu1 Cu 0.0000 0.0000 0.5000
Cu2 Cu 0.6690 0.6690 0.3977
Cu3 Cu 0.3207 0.3207 0.9342
Cu4 Cu 0.6793 0.6793 0.0658
Cu5 Cu 0.6728 0.6728 0.7107
Cu6 Cu 0.3272 0.3272 0.2893
Cu7 Cu 0.3310 0.3310 0.6023
Ag1 Ag 0.0037 0.0037 0.8301
Ag2 Ag 0.9963 0.9963 0.1699
```

energy relative to the elements = 70 meV per atom
polymorph energy (0 for the lowest one) = 20 kJ/mol of formula units
symmetry = C2/m (12)

[3]
A plane-wave DFT calculation with PBE was carried out for an optimized crystal structure of CuAg.

Geometry as CIF:
```
data_CuAg
_chemical_formula_sum 'Cu4 Ag4'
_cell_length_a 2.7935
_cell_length_b 2.7935
_cell_length_c 15.0595
_cell_angle_alpha 90.00
_cell_angle_beta 90.00
_cell_angle_gamma 90.00
_space_group_name_H-M_alt 'P 1'
_space_group_IT_number 1
_space_group_name_Hall 'P 1'
loop_
_atom_site_label
_atom_site_type_symbol
_atom_site_fract_x
_atom_site_fract_y
_atom_site_fract_z
Cu1 Cu 0.0000 0.0000 0.8692
Cu2 Cu 0.5000 0.5000 0.9711
Cu3 Cu 0.5000 0.5000 0.5165
Cu4 Cu 0.5000 0.5000 0.7678
Ag1 Ag 0.0000 0.0000 0.6426
Ag2 Ag 0.0000 0.0000 0.3907
Ag3 Ag 0.0000 0.0000 0.0977
Ag4 Ag 0.5000 0.5000 0.2444
```

energy relative to the elements = 67 meV per atom
symmetry = P4mm (99)